# 1
First-principles (PBE) data for a relaxed Tm2Ga3Cu2 crystal, as listed in Alexandria via LeMat-Bulk.

Computed properties:
E   -0.310 Ry per atom
Relative energy among the computed polymorphs   0.0 meV/atom
E_form   -0.48 eV per atom
D(E_F)   9.08 states/eV per cell

Cell: 4.165 6.881 9.229 Å, 90.00 103.04 90.00°
Fractional positions:
Tm1 0.159 0.250 0.318
Tm2 0.841 0.750 0.682
Tm3 0.947 0.250 0.894
Tm4 0.053 0.750 0.106
Ga1 0.224 0.750 0.447
Ga2 0.776 0.250 0.553
Ga3 0.563 0.431 0.126
Ga4 0.437 0.569 0.874
Ga5 0.437 0.931 0.874
Ga6 0.563 0.069 0.126
Cu1 0.692 0.940 0.384
Cu2 0.308 0.060 0.616
Cu3 0.308 0.440 0.616
Cu4 0.692 0.560 0.384

=====

# 2
First-principles (PBE) data for a relaxed TmGa3Cu crystal, as listed in Alexandria via LeMat-Bulk.

Computed properties:
E   -0.284 Ry per atom
Relative energy among the computed polymorphs   107.1 meV/atom
E_form   -0.33 eV per atom
D(E_F)   3.93 states/eV per cell

Cell: 3.946 6.801 6.940 Å, 90.00 90.00 90.00°
Fractional positions:
Tm1 0.750 0.250 0.182
Tm2 0.250 0.750 0.818
Ga1 0.750 0.750 0.130
Ga2 0.250 0.250 0.870
Ga3 0.750 0.059 0.674
Ga4 0.750 0.441 0.674
Ga5 0.250 0.941 0.326
Ga6 0.250 0.559 0.326
Cu1 0.750 0.750 0.494
Cu2 0.250 0.250 0.506

=====

# 3
First-principles (PBE) data for a relaxed Tm3Ga3Cu crystal, as listed in Alexandria via LeMat-Bulk.

Computed properties:
E   -0.322 Ry per atom
E_form   -0.58 eV per atom
D(E_F)   7.32 states/eV per cell

Cell: 4.291 5.657 13.328 Å, 84.98 80.74 67.71°
Fractional positions:
Tm1 0.539 0.305 0.616
Tm2 0.461 0.695 0.384
Tm3 0.257 0.258 0.228
Tm4 0.743 0.742 0.772
Tm5 0.398 0.282 0.922
Tm6 0.602 0.718 0.078
Ga1 0.865 0.726 0.544
Ga2 0.135 0.274 0.456
Ga3 0.113 0.849 0.924
Ga4 0.887 0.151 0.076
Ga5 0.966 0.833 0.234
Ga6 0.034 0.167 0.766
Cu1 0.752 0.103 0.393
Cu2 0.248 0.897 0.607

=====

# 4
First-principles (PBE) data for a relaxed Tm2Ga5Cu3 crystal, as listed in Alexandria via LeMat-Bulk.

Computed properties:
E   -0.300 Ry per atom
E_form   -0.44 eV per atom
D(E_F)   5.93 states/eV per cell

Cell: 5.751 8.278 8.278 Å, 78.59 69.67 69.67°
Fractional positions:
Tm1 0.129 0.615 0.127
Tm2 0.629 0.127 0.615
Tm3 0.871 0.385 0.873
Tm4 0.371 0.873 0.385
Ga1 0.389 0.259 0.964
Ga2 0.889 0.964 0.259
Ga3 0.611 0.741 0.036
Ga4 0.111 0.036 0.741
Ga5 0.493 0.757 0.757
Ga6 0.507 0.243 0.243
Ga7 0.750 0.500 0.500
Ga8 0.250 0.500 0.500
Ga9 0.007 0.243 0.243
Ga10 0.993 0.757 0.757
Cu1 0.371 0.499 0.759
Cu2 0.871 0.759 0.499
Cu3 0.629 0.501 0.241
Cu4 0.129 0.241 0.501
Cu5 0.250 0.000 0.000
Cu6 0.750 0.000 0.000

=====

# 5
First-principles (PBE) data for a relaxed Tm3Ga4Cu4 crystal, as listed in Alexandria via LeMat-Bulk.

Computed properties:
E   -0.313 Ry per atom
Relative energy among the computed polymorphs   0.0 meV/atom
E_form   -0.45 eV per atom
D(E_F)   8.05 states/eV per cell

Cell: 4.199 6.755 7.947 Å, 115.15 105.32 90.00°
Fractional positions:
Tm1 0.129 0.129 0.258
Tm2 0.871 0.871 0.742
Tm3 0.000 0.500 0.000
Ga1 0.219 0.719 0.438
Ga2 0.781 0.281 0.562
Ga3 0.500 0.812 0.000
Ga4 0.500 0.188 0.000
Cu1 0.329 0.141 0.657
Cu2 0.671 0.484 0.343
Cu3 0.671 0.859 0.343
Cu4 0.329 0.516 0.657

=====

# 6
First-principles (PBE) data for a relaxed TmGa3Cu2 crystal, as listed in Alexandria via LeMat-Bulk.

Computed properties:
E   -0.289 Ry per atom
E_form   -0.30 eV per atom
D(E_F)   4.08 states/eV per cell

Cell: 5.446 6.131 6.131 Å, 99.12 90.00 90.00°
Fractional positions:
Tm1 0.250 0.350 0.350
Tm2 0.750 0.650 0.650
Ga1 0.750 0.440 0.130
Ga2 0.750 0.130 0.440
Ga3 0.250 0.560 0.870
Ga4 0.750 0.018 0.018
Ga5 0.250 0.982 0.982
Ga6 0.250 0.870 0.560
Cu1 0.500 0.770 0.230
Cu2 0.000 0.770 0.230
Cu3 0.000 0.230 0.770
Cu4 0.500 0.230 0.770

=====

# 7
First-principles (PBE) data for a relaxed TmGa2Cu crystal, as listed in Alexandria via LeMat-Bulk.

Computed properties:
E   -0.296 Ry per atom
E_form   -0.37 eV per atom
D(E_F)   1.76 states/eV per cell

Cell: 4.178 4.143 4.143 Å, 90.00 90.00 90.00°
Fractional positions:
Tm1 0.500 0.500 0.500
Cu1 0.500 0.000 0.000
Ga1 0.000 0.000 0.500
Ga2 0.000 0.500 0.000

=====

# 8
First-principles (PBE) data for a relaxed TmGa3Cu crystal, as listed in Alexandria via LeMat-Bulk.

Computed properties:
E   -0.292 Ry per atom
Relative energy among the computed polymorphs   0.0 meV/atom
E_form   -0.44 eV per atom
D(E_F)   1.27 states/eV per cell

Cell: 4.047 4.046 6.144 Å, 70.60 70.58 90.06°
Fractional positions:
Tm1 0.400 0.203 0.907
Ga1 0.647 0.947 0.414
Ga2 0.144 0.451 0.414
Ga3 0.800 0.604 0.103
Cu1 0.017 0.821 0.673

=====

# 9
First-principles (PBE) data for a relaxed Tm5GaCu4 crystal, as listed in Alexandria via LeMat-Bulk.

Computed properties:
E   -0.332 Ry per atom
E_form   -0.35 eV per atom
D(E_F)   6.96 states/eV per cell

Cell: 3.417 3.417 17.441 Å, 90.00 90.00 90.00°
Fractional positions:
Tm1 0.500 0.500 0.106
Tm2 0.500 0.500 0.303
Tm3 0.500 0.500 0.500
Tm4 0.500 0.500 0.697
Tm5 0.500 0.500 0.894
Ga1 0.000 0.000 0.000
Cu1 0.000 0.000 0.203
Cu2 0.000 0.000 0.402
Cu3 0.000 0.000 0.598
Cu4 0.000 0.000 0.797

=====

# 10
First-principles (PBE) data for a relaxed Tm3Ga2Cu6 crystal, as listed in Alexandria via LeMat-Bulk.

Computed properties:
E   -0.321 Ry per atom
E_form   -0.36 eV per atom
D(E_F)   11.78 states/eV per cell

Cell: 7.811 7.811 7.811 Å, 109.47 109.47 109.47°
Fractional positions:
Tm1 0.724 0.000 0.724
Tm2 0.276 0.000 0.276
Tm3 0.000 0.276 0.276
Tm4 0.000 0.724 0.724
Tm5 0.276 0.276 0.000
Tm6 0.724 0.724 0.000
Ga1 0.000 0.500 0.000
Ga2 0.500 0.000 0.000
Ga3 0.000 0.000 0.500
Ga4 0.500 0.500 0.500
Cu1 0.663 0.325 0.663
Cu2 0.663 0.000 0.337
Cu3 0.337 0.000 0.663
Cu4 0.337 0.675 0.337
Cu5 0.000 0.663 0.337
Cu6 0.675 0.337 0.337
Cu7 0.325 0.663 0.663
Cu8 0.000 0.337 0.663
Cu9 0.337 0.663 0.000
Cu10 0.663 0.663 0.325
Cu11 0.337 0.337 0.675
Cu12 0.663 0.337 0.000

=====

# 11
First-principles (PBE) data for a relaxed Tm3GaCu4 crystal, as listed in Alexandria via LeMat-Bulk.

Computed properties:
E   -0.311 Ry per atom
E_form   -0.12 eV per atom
D(E_F)   4.52 states/eV per cell

Cell: 3.679 5.368 8.815 Å, 107.73 102.04 90.00°
Fractional positions:
Tm1 0.217 0.217 0.434
Tm2 0.783 0.783 0.566
Tm3 0.000 0.500 0.000
Ga1 0.500 0.000 0.000
Cu1 0.378 0.607 0.756
Cu2 0.622 0.393 0.244
Cu3 0.622 0.851 0.244
Cu4 0.378 0.149 0.756

=====

# 12
First-principles (PBE) data for a relaxed TmGa2Cu crystal, as listed in Alexandria via LeMat-Bulk.

Computed properties:
E   -0.301 Ry per atom
E_form   -0.44 eV per atom
D(E_F)   1.63 states/eV per cell

Cell: 4.130 4.130 5.562 Å, 68.21 68.21 60.00°
Fractional positions:
Tm1 0.000 0.000 0.000
Cu1 0.500 0.500 0.500
Ga1 0.784 0.784 0.649
Ga2 0.216 0.216 0.351

=====

# 13
First-principles (PBE) data for a relaxed TmGa6Cu4 crystal, as listed in Alexandria via LeMat-Bulk.

Computed properties:
E   -0.276 Ry per atom
E_form   -0.21 eV per atom
D(E_F)   2.49 states/eV per cell

Cell: 3.960 7.155 7.155 Å, 120.00 90.00 90.00°
Fractional positions:
Tm1 0.000 0.000 0.000
Ga1 0.000 0.534 0.068
Ga2 0.500 0.608 0.804
Ga3 0.000 0.534 0.466
Ga4 0.000 0.932 0.466
Ga5 0.500 0.196 0.804
Ga6 0.500 0.196 0.392
Cu1 0.500 0.793 0.586
Cu2 0.500 0.414 0.207
Cu3 0.500 0.793 0.207
Cu4 0.000 0.333 0.667

=====

# 14
First-principles (PBE) data for a relaxed Tm2Ga3Cu2 crystal, as listed in Alexandria via LeMat-Bulk.

Computed properties:
E   -0.309 Ry per atom
Relative energy among the computed polymorphs   12.7 meV/atom
E_form   -0.47 eV per atom
D(E_F)   2.94 states/eV per cell

Cell: 4.158 5.493 6.557 Å, 112.83 90.00 112.24°
Fractional positions:
Tm1 0.851 0.702 0.221
Tm2 0.149 0.298 0.779
Ga1 0.500 0.000 0.000
Ga2 0.608 0.216 0.438
Ga3 0.392 0.784 0.562
Cu1 0.856 0.712 0.765
Cu2 0.144 0.288 0.235

=====

# 15
First-principles (PBE) data for a relaxed Tm2Ga2Cu3 crystal, as listed in Alexandria via LeMat-Bulk.

Computed properties:
E   -0.300 Ry per atom
Relative energy among the computed polymorphs   191.9 meV/atom
E_form   -0.18 eV per atom
D(E_F)   3.53 states/eV per cell

Cell: 3.323 4.083 9.518 Å, 102.38 90.00 90.00°
Fractional positions:
Tm1 0.000 0.854 0.708
Tm2 0.000 0.146 0.292
Ga1 0.500 0.711 0.421
Ga2 0.500 0.289 0.579
Cu1 0.500 0.564 0.128
Cu2 0.500 0.436 0.872
Cu3 0.000 0.000 0.000

=====

# 16
First-principles (PBE) data for a relaxed Tm3Ga3Cu2 crystal, as listed in Alexandria via LeMat-Bulk.

Computed properties:
E   -0.322 Ry per atom
E_form   -0.54 eV per atom
D(E_F)   9.44 states/eV per cell

Cell: 4.281 5.555 14.286 Å, 90.00 90.00 112.66°
Fractional positions:
Tm1 0.907 0.814 0.392
Tm2 0.093 0.186 0.892
Tm3 0.907 0.814 0.108
Tm4 0.093 0.186 0.608
Tm5 0.632 0.264 0.250
Tm6 0.368 0.736 0.750
Ga1 0.616 0.233 0.461
Ga2 0.384 0.767 0.961
Ga3 0.616 0.233 0.039
Ga4 0.384 0.767 0.539
Ga5 0.341 0.681 0.250
Ga6 0.659 0.319 0.750
Cu1 0.798 0.597 0.899
Cu2 0.202 0.403 0.399
Cu3 0.798 0.597 0.601
Cu4 0.202 0.403 0.101

=====

# 17
First-principles (PBE) data for a relaxed TmGa4Cu crystal, as listed in Alexandria via LeMat-Bulk.

Computed properties:
E   -0.269 Ry per atom
E_form   -0.21 eV per atom
D(E_F)   4.77 states/eV per cell

Cell: 4.514 5.298 9.834 Å, 106.37 103.10 90.34°
Fractional positions:
Tm1 0.750 0.750 0.000
Tm2 0.250 0.250 0.000
Ga1 0.647 0.138 0.791
Ga2 0.853 0.362 0.209
Ga3 0.353 0.862 0.209
Ga4 0.147 0.638 0.791
Ga5 0.072 0.037 0.642
Ga6 0.428 0.463 0.358
Ga7 0.928 0.963 0.358
Ga8 0.572 0.537 0.642
Cu1 0.500 0.000 0.500
Cu2 0.000 0.500 0.500

=====

# 18
First-principles (PBE) data for a relaxed Tm3Ga6Cu5 crystal, as listed in Alexandria via LeMat-Bulk.

Computed properties:
E   -0.305 Ry per atom
E_form   -0.43 eV per atom
D(E_F)   13.16 states/eV per cell

Cell: 4.186 9.122 12.311 Å, 90.00 90.00 90.00°
Fractional positions:
Tm1 0.000 0.250 0.704
Tm2 0.500 0.750 0.204
Tm3 0.500 0.750 0.796
Tm4 0.000 0.252 0.000
Tm5 0.500 0.748 0.500
Tm6 0.000 0.250 0.296
Ga1 0.000 0.976 0.850
Ga2 0.500 0.024 0.650
Ga3 0.500 0.396 0.833
Ga4 0.500 0.575 0.000
Ga5 0.000 0.425 0.500
Ga6 0.000 0.604 0.667
Ga7 0.000 0.604 0.333
Ga8 0.500 0.945 0.000
Ga9 0.000 0.976 0.150
Ga10 0.500 0.396 0.167
Ga11 0.000 0.055 0.500
Ga12 0.500 0.024 0.350
Cu1 0.000 0.534 0.874
Cu2 0.000 0.875 0.654
Cu3 0.000 0.765 0.000
Cu4 0.500 0.466 0.626
Cu5 0.500 0.235 0.500
Cu6 0.000 0.534 0.126
Cu7 0.500 0.466 0.374
Cu8 0.000 0.875 0.346
Cu9 0.500 0.125 0.846
Cu10 0.500 0.125 0.154

=====

# 19
First-principles (PBE) data for a relaxed TmGa2Cu crystal, as listed in Alexandria via LeMat-Bulk.

Computed properties:
E   -0.290 Ry per atom
E_form   -0.29 eV per atom
D(E_F)   1.72 states/eV per cell

Cell: 3.255 3.255 6.725 Å, 90.00 90.00 90.00°
Fractional positions:
Tm1 0.500 0.500 0.500
Cu1 0.500 0.500 0.000
Ga1 0.000 0.000 0.798
Ga2 0.000 0.000 0.202

=====

# 20
First-principles (PBE) data for a relaxed TmGa4Cu12 crystal, as listed in Alexandria via LeMat-Bulk.

Computed properties:
E   -0.261 Ry per atom
E_form   0.31 eV per atom
D(E_F)   10.03 states/eV per cell

Cell: 7.133 7.133 7.133 Å, 109.47 109.47 109.47°
Fractional positions:
Tm1 0.000 0.000 0.000
Ga1 0.000 0.500 0.000
Ga2 0.500 0.000 0.000
Ga3 0.500 0.500 0.500
Ga4 0.000 0.000 0.500
Cu1 0.853 0.354 0.207
Cu2 0.354 0.501 0.147
Cu3 0.793 0.147 0.646
Cu4 0.354 0.207 0.853
Cu5 0.207 0.853 0.354
Cu6 0.646 0.499 0.853
Cu7 0.501 0.147 0.354
Cu8 0.499 0.853 0.646
Cu9 0.646 0.793 0.147
Cu10 0.853 0.646 0.499
Cu11 0.147 0.354 0.501
Cu12 0.147 0.646 0.793